Record 1
# PBE La2Rh7, optimized geometry
data_La2Rh7
_chemical_formula_sum 'La8 Rh28'
_cell_length_a 5.3370
_cell_length_b 5.3370
_cell_length_c 26.5896
_cell_angle_alpha 90.00
_cell_angle_beta 90.00
_cell_angle_gamma 120.00
_space_group_name_H-M_alt 'P 63/m m c'
_space_group_IT_number 194
_space_group_name_Hall '-P 6c 2c'
loop_
_atom_site_label
_atom_site_type_symbol
_atom_site_fract_x
_atom_site_fract_y
_atom_site_fract_z
_atom_site_occupancy
La1 La 0.3333 0.6667 0.0295 1
La2 La 0.3333 0.6667 0.1746 1
Rh1 Rh 0.0000 0.0000 0.0000 1
Rh2 Rh 0.0000 0.0000 0.1674 1
Rh3 Rh 0.1666 0.3331 0.7500 1
Rh4 Rh 0.1668 0.3335 0.5857 1
Rh5 Rh 0.3333 0.6667 0.6667 1
# calculated volume = 655.9 Å³/cell
# size of the total moment = 0.0 μB per formula unit
# calculated total energy = -7.277 eV per atom

Record 2
# PBE La5Rh4, optimized geometry
data_La5Rh4
_chemical_formula_sum 'La10 Rh8'
_cell_length_a 8.5373
_cell_length_b 8.5373
_cell_length_c 7.2856
_cell_angle_alpha 90.00
_cell_angle_beta 90.00
_cell_angle_gamma 120.00
_space_group_name_H-M_alt 'P 63/m c m'
_space_group_IT_number 193
_space_group_name_Hall '-P 6c 2'
loop_
_atom_site_label
_atom_site_type_symbol
_atom_site_fract_x
_atom_site_fract_y
_atom_site_fract_z
_atom_site_occupancy
La1 La 0.0000 0.2585 0.2500 1
La2 La 0.3333 0.6667 0.0000 1
Rh1 Rh 0.0000 0.0000 0.0000 1
Rh2 Rh 0.0000 0.4024 0.7500 1
# calculated volume = 459.9 Å³/cell
# size of the total moment = 0.0 μB per formula unit
# calculated total energy = -6.620 eV per atom